Entry 1:
A plane-wave DFT calculation with PBE was carried out for crystalline SrNiS at its relaxed geometry.

The structure in CIF format:
```
data_SrNiS
_space_group_name_H-M_alt 'P n m a'
_space_group_IT_number 62
_cell_length_a 9.2292
_cell_length_b 3.9482
_cell_length_c 7.1208
_cell_angle_alpha 90.00
_cell_angle_beta 90.00
_cell_angle_gamma 90.00
loop_
_space_group_symop_operation_xyz
'x,y,z'
'-x,-y,-z'
'-x+1/2,-y,z+1/2'
'x+1/2,y,-z+1/2'
'x+1/2,-y+1/2,-z+1/2'
'-x+1/2,y+1/2,z+1/2'
'-x,y+1/2,-z'
'x,-y+1/2,z'
loop_
_atom_site_label
_atom_site_type_symbol
_atom_site_fract_x
_atom_site_fract_y
_atom_site_fract_z
_atom_site_occupancy
Sr1 Sr 0.1934 0.2500 0.0113 1
Ni1 Ni 0.0238 0.2500 0.3925 1
S1 S 0.0489 0.7500 0.2640 1
```

The calculation puts the uncorrected energy at -57.804 eV per cell. For the calculated volume, the calculation gives 259.5 Å³ per cell. Its uncorrected formation energy is -0.954 eV per atom.

Entry 2:
A plane-wave DFT calculation with PBE was carried out for crystalline SrNi2S at its relaxed geometry.

The structure in CIF format:
```
data_SrNi2S
_space_group_name_H-M_alt 'I m a 2'
_space_group_IT_number 46
_cell_length_a 4.7482
_cell_length_b 8.3785
_cell_length_c 7.3882
_cell_angle_alpha 90.00
_cell_angle_beta 90.00
_cell_angle_gamma 90.00
loop_
_space_group_symop_operation_xyz
'x,y,z'
'-x,-y,z'
'-x+1/2,y,z'
'x+1/2,-y,z'
'x+1/2,y+1/2,z+1/2'
'-x+1/2,-y+1/2,z+1/2'
'-x,y+1/2,z+1/2'
'x,-y+1/2,z+1/2'
loop_
_atom_site_label
_atom_site_type_symbol
_atom_site_fract_x
_atom_site_fract_y
_atom_site_fract_z
_atom_site_occupancy
Sr1 Sr 0.2500 0.1807 0.0000 1
Ni1 Ni 0.0000 0.0000 0.3829 1
Ni2 Ni 0.2500 0.5665 0.1694 1
S1 S 0.2500 0.6921 0.7614 1
```

The calculation puts the uncorrected energy at -79.149 eV per cell. For the calculated volume, the calculation gives 293.9 Å³ per cell. Its uncorrected formation energy is -0.604 eV per atom.

Question: Number 1 is which compound?
Answer: SrNiS